The following is a PBE calculation of MnCo2C2 after structural relaxation, from Alexandria.

a b c (Å): 5.996 5.996 2.443
angles (deg): 90.00 90.00 90.00
Element x y z (fractional)
Mn 0.000 0.000 0.000
Mn 0.500 0.500 0.000
Co 0.139 0.361 0.000
Co 0.361 0.861 0.000
Co 0.639 0.139 0.000
Co 0.861 0.639 0.000
C 0.171 0.671 0.500
C 0.329 0.171 0.500
C 0.671 0.829 0.500
C 0.829 0.329 0.500

Calculated values
Energy of formation from the pure elements, eV/atom: 0.993
Energy, eV per atom: -7.373

The following is a PBE calculation of NaHgPb2 after structural relaxation, from Alexandria.

a b c (Å): 11.889 11.889 11.889
angles (deg): 16.85 16.85 16.85
Element x y z (fractional)
Na 0.000 0.000 0.000
Hg 0.500 0.500 0.500
Pb 0.092 0.092 0.092
Pb 0.908 0.908 0.908

Calculated values
Energy of formation from the pure elements, eV/atom: 0.047
Energy, eV per atom: -2.212

The following is a PBE calculation of AlTeRh2 after structural relaxation, from Alexandria.

a b c (Å): 4.402 4.402 5.217
angles (deg): 101.79 101.79 42.52
Element x y z (fractional)
Al 0.000 0.000 0.000
Te 0.500 0.500 0.500
Rh 0.256 0.256 0.766
Rh 0.744 0.744 0.234

Calculated values
Relative energy among the computed polymorphs, meV/atom: 118.0
Energy, eV per atom: -5.713

The following is a PBE calculation of InSi2Br after structural relaxation, from Alexandria.

a b c (Å): 3.807 5.474 5.064
angles (deg): 90.00 91.46 90.00
Element x y z (fractional)
In 0.000 0.000 0.000
Si 0.246 0.500 0.866
Si 0.754 0.500 0.134
Br 0.500 0.000 0.500

Calculated values
Relative energy among the computed polymorphs, meV/atom: 310.1
Energy, eV per atom: -3.489

The following is a PBE calculation of Ti2Tl4Co after structural relaxation, from Alexandria.

a b c (Å): 7.638 7.638 7.638
angles (deg): 140.51 140.51 57.07
Element x y z (fractional)
Ti 0.091 0.091 0.000
Ti 0.909 0.909 0.000
Tl 0.000 0.500 0.500
Tl 0.304 0.304 0.000
Tl 0.500 0.000 0.500
Tl 0.696 0.696 0.000
Co 0.500 0.500 0.000

Calculated values
Energy of formation from the pure elements, eV/atom: 0.538
Energy, eV per atom: -4.085

The following is a PBE calculation of Nd3Be2Pt4 after structural relaxation, from Alexandria.

a b c (Å): 5.874 5.874 8.558
angles (deg): 105.41 105.41 40.68
Element x y z (fractional)
Nd 0.000 0.000 0.000
Nd 0.335 0.335 0.333
Nd 0.665 0.665 0.667
Be 0.386 0.386 0.718
Be 0.614 0.614 0.282
Pt 0.065 0.065 0.378
Pt 0.291 0.291 0.918
Pt 0.709 0.709 0.082
Pt 0.935 0.935 0.622

Calculated values
Energy of formation from the pure elements, eV/atom: -0.923
Energy, eV per atom: -6.025

The following is a PBE calculation of Sc2AlNi9 after structural relaxation, from Alexandria.

a b c (Å): 3.681 3.681 10.885
angles (deg): 90.00 90.00 90.00
Element x y z (fractional)
Sc 0.000 0.000 0.172
Sc 0.000 0.000 0.828
Al 0.000 0.000 0.500
Ni 0.000 0.500 0.000
Ni 0.000 0.500 0.345
Ni 0.000 0.500 0.655
Ni 0.500 0.000 0.000
Ni 0.500 0.000 0.345
Ni 0.500 0.000 0.655
Ni 0.500 0.500 0.172
Ni 0.500 0.500 0.500
Ni 0.500 0.500 0.828

Calculated values
Energy of formation from the pure elements, eV/atom: -0.408
Energy, eV per atom: -6.111

The following is a PBE calculation of SrAs2 after structural relaxation, from Alexandria.

a b c (Å): 8.867 8.867 3.997
angles (deg): 90.00 90.00 120.00
Element x y z (fractional)
Sr 0.000 0.000 0.000
Sr 0.333 0.667 0.500
Sr 0.667 0.333 0.500
As 0.000 0.281 0.500
As 0.000 0.451 0.000
As 0.281 0.000 0.500
As 0.451 0.000 0.000
As 0.549 0.549 0.000
As 0.719 0.719 0.500

Calculated values
Energy of formation from the pure elements, eV/atom: -0.611
Energy, eV per atom: -4.272